Record 1
Entry from the Alexandria database: a geometry-optimized Na2CdBBr structure (PBE-GGA).

Output
Total energy   -2.180 eV/atom
N(E_F)   2.0 states/eV/cell

abc: 5.901 5.901 4.158
angles: 90.00 90.00 90.00
Fractional coordinates of all 5 atoms:
Na1 0.000 0.500 0.000
Na2 0.500 0.000 0.000
Cd1 0.000 0.000 0.000
B1 0.000 0.000 0.500
Br1 0.500 0.500 0.500



Record 2
Entry from the Alexandria database: a geometry-optimized CdBBrO2 structure (PBE-GGA).

Output
Total energy   -5.324 eV/atom
N(E_F)   0.0 states/eV/cell

abc: 6.448 4.074 8.635
angles: 90.00 107.63 90.00
Fractional coordinates of all 10 atoms:
Cd1 0.202 0.250 0.191
Cd2 0.798 0.750 0.809
B1 0.321 0.750 0.913
B2 0.679 0.250 0.087
Br1 0.194 0.750 0.386
Br2 0.806 0.250 0.614
O1 0.160 0.750 0.971
O2 0.478 0.750 0.856
O3 0.522 0.250 0.144
O4 0.840 0.250 0.029



Record 3
Entry from the Alexandria database: a geometry-optimized Rb2CdBBr6 structure (PBE-GGA).

Output
Total energy   -2.680 eV/atom
N(E_F)   1.6 states/eV/cell

abc: 7.494 7.494 7.494
angles: 120.35 120.35 89.39
Fractional coordinates of all 10 atoms:
Rb1 0.250 0.750 0.500
Rb2 0.750 0.250 0.500
Cd1 0.000 0.000 0.000
B1 0.500 0.500 0.000
Br1 0.265 0.265 0.000
Br2 0.270 0.270 0.539
Br3 0.270 0.730 0.000
Br4 0.730 0.270 0.000
Br5 0.730 0.730 0.461
Br6 0.735 0.735 0.000



Record 4
Entry from the Alexandria database: a geometry-optimized CdBSe2Br structure (PBE-GGA).

Output
Total energy   -2.749 eV/atom
E above lowest polymorph   0.0 kJ/mol of formula units
N(E_F)   3.8 states/eV/cell

abc: 4.611 4.611 4.719
angles: 90.00 90.00 90.00
Fractional coordinates of all 5 atoms:
Cd1 0.000 0.000 0.000
B1 0.500 0.500 0.500
Se1 0.000 0.500 0.500
Se2 0.500 0.000 0.500
Br1 0.500 0.500 0.000



Record 5
Entry from the Alexandria database: a geometry-optimized CdBSe2Br structure (PBE-GGA).

Output
Total energy   -2.063 eV/atom
E above lowest polymorph   330.7 kJ/mol of formula units
N(E_F)   5.8 states/eV/cell

abc: 5.223 5.223 5.588
angles: 90.00 90.00 90.00
Fractional coordinates of all 5 atoms:
Cd1 0.000 0.000 0.000
B1 0.500 0.500 0.500
Se1 0.000 0.500 0.000
Se2 0.500 0.000 0.000
Br1 0.000 0.000 0.500



Record 6
Entry from the Alexandria database: a geometry-optimized CdSnB2Br structure (PBE-GGA).

Output
Total energy   -2.613 eV/atom
N(E_F)   2.8 states/eV/cell

abc: 4.333 4.333 6.423
angles: 90.00 90.00 90.00
Fractional coordinates of all 5 atoms:
Cd1 0.000 0.000 0.000
Sn1 0.000 0.000 0.500
B1 0.000 0.500 0.000
B2 0.500 0.000 0.000
Br1 0.500 0.500 0.500



Record 7
Entry from the Alexandria database: a geometry-optimized CdTc2BBr structure (PBE-GGA).

Output
Total energy   -3.860 eV/atom
N(E_F)   5.9 states/eV/cell

abc: 5.338 5.338 4.086
angles: 90.00 90.00 90.00
Fractional coordinates of all 5 atoms:
Cd1 0.000 0.000 0.000
Tc1 0.000 0.500 0.000
Tc2 0.500 0.000 0.000
B1 0.000 0.000 0.500
Br1 0.500 0.500 0.500



Record 8
Entry from the Alexandria database: a geometry-optimized ZrCd2BBr structure (PBE-GGA).

Output
Total energy   -3.015 eV/atom
N(E_F)   4.6 states/eV/cell

abc: 4.349 4.349 5.898
angles: 90.00 90.00 90.00
Fractional coordinates of all 5 atoms:
Zr1 0.000 0.000 0.000
Cd1 0.000 0.500 0.500
Cd2 0.500 0.000 0.500
B1 0.500 0.500 0.500
Br1 0.500 0.500 0.000



Record 9
Entry from the Alexandria database: a geometry-optimized Ce4BBr5 structure (PBE-GGA).

Output
Total energy   -5.159 eV/atom
N(E_F)   23.0 states/eV/cell

abc: 9.345 9.345 8.459
angles: 102.95 102.95 24.72
Fractional coordinates of all 10 atoms:
Ce1 0.001 0.001 0.290
Ce2 0.351 0.351 0.422
Ce3 0.649 0.649 0.578
Ce4 0.999 0.999 0.710
B1 0.500 0.500 0.500
Br1 0.166 0.166 0.845
Br2 0.171 0.171 0.322
Br3 0.500 0.500 0.000
Br4 0.829 0.829 0.678
Br5 0.834 0.834 0.155



Record 10
Entry from the Alexandria database: a geometry-optimized B3BrCl structure (PBE-GGA).

Output
Total energy   -2.106 eV/atom
E above lowest polymorph   58.2 kJ/mol of formula units
N(E_F)   2.1 states/eV/cell

abc: 4.860 4.860 4.860
angles: 90.00 90.00 90.00
Fractional coordinates of all 5 atoms:
B1 0.000 0.000 0.500
B2 0.000 0.500 0.000
B3 0.500 0.000 0.000
Br1 0.000 0.000 0.000
Cl1 0.500 0.500 0.500



Record 11
Entry from the Alexandria database: a geometry-optimized B3BrCl structure (PBE-GGA).

Output
Total energy   -2.227 eV/atom
E above lowest polymorph   0.0 kJ/mol of formula units
N(E_F)   1.5 states/eV/cell

abc: 4.680 4.680 4.680
angles: 90.00 90.00 90.00
Fractional coordinates of all 5 atoms:
B1 0.000 0.000 0.500
B2 0.000 0.500 0.000
B3 0.500 0.000 0.000
Br1 0.500 0.500 0.500
Cl1 0.000 0.000 0.000



Record 12
Entry from the Alexandria database: a geometry-optimized BBrCl2 structure (PBE-GGA).

Output
Total energy   -1.639 eV/atom
E above lowest polymorph   798.1 kJ/mol of formula units
N(E_F)   15.0 states/eV/cell

abc: 7.078 7.078 7.078
angles: 90.00 90.00 90.00
Fractional coordinates of all 16 atoms:
B1 0.000 0.000 0.000
B2 0.000 0.500 0.500
B3 0.500 0.000 0.500
B4 0.500 0.500 0.000
Br1 0.000 0.000 0.500
Br2 0.000 0.500 0.000
Br3 0.500 0.000 0.000
Br4 0.500 0.500 0.500
Cl1 0.250 0.250 0.250
Cl2 0.250 0.250 0.750
Cl3 0.250 0.750 0.250
Cl4 0.250 0.750 0.750
Cl5 0.750 0.250 0.250
Cl6 0.750 0.250 0.750
Cl7 0.750 0.750 0.250
Cl8 0.750 0.750 0.750



Record 13
Entry from the Alexandria database: a geometry-optimized BBrCl2 structure (PBE-GGA).

Output
Total energy   -2.719 eV/atom
E above lowest polymorph   381.1 kJ/mol of formula units
N(E_F)   67.0 states/eV/cell

abc: 6.411 6.411 9.065
angles: 90.00 90.00 90.00
Fractional coordinates of all 16 atoms:
B1 0.000 0.000 0.000
B2 0.000 0.500 0.250
B3 0.500 0.000 0.750
B4 0.500 0.500 0.500
Br1 0.000 0.000 0.500
Br2 0.000 0.500 0.750
Br3 0.500 0.000 0.250
Br4 0.500 0.500 0.000
Cl1 0.003 0.250 0.125
Cl2 0.250 0.503 0.375
Cl3 0.250 0.997 0.875
Cl4 0.497 0.250 0.625
Cl5 0.503 0.750 0.625
Cl6 0.750 0.003 0.875
Cl7 0.750 0.497 0.375
Cl8 0.997 0.750 0.125



Record 14
Entry from the Alexandria database: a geometry-optimized BBrCl structure (PBE-GGA).

Output
Total energy   -3.935 eV/atom
E above lowest polymorph   0.0 kJ/mol of formula units
N(E_F)   0.0 states/eV/cell

abc: 4.679 6.231 7.980
angles: 86.16 73.68 80.42
Fractional coordinates of all 6 atoms:
B1 0.000 0.000 0.000
B2 0.048 0.954 0.205
Br1 0.205 0.799 0.817
Br2 0.845 0.156 0.387
Cl1 0.281 0.723 0.254
Cl2 0.765 0.230 0.951



Record 15
Entry from the Alexandria database: a geometry-optimized BBrCl2 structure (PBE-GGA).

Output
Total energy   -2.536 eV/atom
E above lowest polymorph   451.8 kJ/mol of formula units
N(E_F)   9.4 states/eV/cell

abc: 3.161 3.161 30.529
angles: 90.00 90.00 120.00
Fractional coordinates of all 12 atoms:
B1 0.000 0.000 0.000
B2 0.333 0.667 0.667
B3 0.667 0.333 0.333
Br1 0.000 0.000 0.500
Br2 0.333 0.667 0.167
Br3 0.667 0.333 0.833
Cl1 0.000 0.000 0.375
Cl2 0.000 0.000 0.625
Cl3 0.333 0.667 0.041
Cl4 0.333 0.667 0.292
Cl5 0.667 0.333 0.708
Cl6 0.667 0.333 0.959



Record 16
Entry from the Alexandria database: a geometry-optimized BBrCl structure (PBE-GGA).

Output
Total energy   -3.263 eV/atom
E above lowest polymorph   194.5 kJ/mol of formula units
N(E_F)   6.1 states/eV/cell

abc: 3.731 7.222 12.851
angles: 90.00 90.00 90.00
Fractional coordinates of all 12 atoms:
B1 0.000 0.098 0.000
B2 0.000 0.902 0.500
B3 0.500 0.402 0.500
B4 0.500 0.598 0.000
Br1 0.000 0.337 0.068
Br2 0.000 0.663 0.568
Br3 0.500 0.163 0.568
Br4 0.500 0.837 0.068
Cl1 0.000 0.068 0.866
Cl2 0.000 0.932 0.366
Cl3 0.500 0.432 0.366
Cl4 0.500 0.568 0.866



Record 17
Entry from the Alexandria database: a geometry-optimized B2BrCl8 structure (PBE-GGA).

Output
Total energy   -3.175 eV/atom
N(E_F)   2.6 states/eV/cell

abc: 6.556 6.556 11.714
angles: 101.75 101.75 49.35
Fractional coordinates of all 11 atoms:
B1 0.105 0.105 0.260
B2 0.895 0.895 0.740
Br1 0.500 0.500 0.000
Cl1 0.027 0.027 0.857
Cl2 0.150 0.656 0.628
Cl3 0.235 0.235 0.209
Cl4 0.344 0.850 0.372
Cl5 0.656 0.150 0.628
Cl6 0.765 0.765 0.791
Cl7 0.850 0.344 0.372
Cl8 0.973 0.973 0.143



Record 18
Entry from the Alexandria database: a geometry-optimized BBrCl2 structure (PBE-GGA).

Output
Total energy   -3.706 eV/atom
E above lowest polymorph   0.0 kJ/mol of formula units
N(E_F)   0.0 states/eV/cell

abc: 7.816 12.079 3.382
angles: 90.00 115.24 90.00
Fractional coordinates of all 8 atoms:
B1 0.000 0.000 0.000
B2 0.500 0.500 0.000
Br1 0.000 0.881 0.500
Br2 0.500 0.381 0.500
Cl1 0.216 0.072 0.213
Cl2 0.284 0.572 0.787
Cl3 0.716 0.572 0.213
Cl4 0.784 0.072 0.787



Record 19
Entry from the Alexandria database: a geometry-optimized BBrCl2 structure (PBE-GGA).

Output
Total energy   -3.133 eV/atom
E above lowest polymorph   221.2 kJ/mol of formula units
N(E_F)   0.0 states/eV/cell

abc: 5.368 5.368 19.067
angles: 90.00 90.00 120.00
Fractional coordinates of all 12 atoms:
B1 0.000 0.000 0.000
B2 0.333 0.667 0.667
B3 0.667 0.333 0.333
Br1 0.000 0.000 0.500
Br2 0.333 0.667 0.167
Br3 0.667 0.333 0.833
Cl1 0.000 0.000 0.084
Cl2 0.000 0.000 0.916
Cl3 0.333 0.667 0.582
Cl4 0.333 0.667 0.751
Cl5 0.667 0.333 0.249
Cl6 0.667 0.333 0.418



Record 20
Entry from the Alexandria database: a geometry-optimized Co2BBrCl structure (PBE-GGA).

Output
Total energy   -3.921 eV/atom
N(E_F)   5.1 states/eV/cell

abc: 4.257 4.257 4.390
angles: 90.00 90.00 90.00
Fractional coordinates of all 5 atoms:
Co1 0.000 0.500 0.000
Co2 0.500 0.000 0.000
B1 0.000 0.000 0.000
Br1 0.000 0.000 0.500
Cl1 0.500 0.500 0.500



Record 21
Entry from the Alexandria database: a geometry-optimized Cs2BBr6Cl structure (PBE-GGA).

Output
Total energy   -2.689 eV/atom
N(E_F)   0.0 states/eV/cell

abc: 8.044 8.044 8.044
angles: 120.63 120.63 88.92
Fractional coordinates of all 10 atoms:
Cs1 0.250 0.750 0.500
Cs2 0.750 0.250 0.500
B1 0.000 0.000 0.000
Br1 0.193 0.193 0.386
Br2 0.193 0.807 0.000
Br3 0.286 0.286 0.000
Br4 0.714 0.714 0.000
Br5 0.807 0.193 0.000
Br6 0.807 0.807 0.614
Cl1 0.500 0.500 0.000



Record 22
Entry from the Alexandria database: a geometry-optimized Cs2BBrCl6 structure (PBE-GGA).

Output
Total energy   -3.042 eV/atom
N(E_F)   0.0 states/eV/cell

abc: 7.785 7.785 7.785
angles: 120.82 120.82 88.58
Fractional coordinates of all 10 atoms:
Cs1 0.250 0.750 0.500
Cs2 0.750 0.250 0.500
B1 0.000 0.000 0.000
Br1 0.500 0.500 0.000
Cl1 0.183 0.183 0.365
Cl2 0.183 0.817 0.000
Cl3 0.284 0.284 0.000
Cl4 0.716 0.716 0.000
Cl5 0.817 0.183 0.000
Cl6 0.817 0.817 0.635



Record 23
Entry from the Alexandria database: a geometry-optimized BIrBrCl2 structure (PBE-GGA).

Output
Total energy   -3.212 eV/atom
N(E_F)   1.9 states/eV/cell

abc: 4.771 4.771 5.119
angles: 90.00 90.00 90.00
Fractional coordinates of all 5 atoms:
B1 0.000 0.000 0.000
Ir1 0.500 0.500 0.500
Br1 0.500 0.500 0.000
Cl1 0.000 0.500 0.500
Cl2 0.500 0.000 0.500



Record 24
Entry from the Alexandria database: a geometry-optimized La4BBrCl2 structure (PBE-GGA).

Output
Total energy   -5.160 eV/atom
N(E_F)   4.6 states/eV/cell

abc: 7.137 4.145 7.642
angles: 90.00 108.57 90.00
Fractional coordinates of all 8 atoms:
La1 0.218 0.000 0.205
La2 0.241 0.500 0.788
La3 0.759 0.500 0.212
La4 0.782 0.000 0.795
B1 0.000 0.500 0.000
Br1 0.000 0.000 0.500
Cl1 0.500 0.000 0.000
Cl2 0.500 0.500 0.500



Record 25
Entry from the Alexandria database: a geometry-optimized La4BBr2Cl structure (PBE-GGA).

Output
Total energy   -5.090 eV/atom
N(E_F)   4.4 states/eV/cell

abc: 7.211 4.143 7.762
angles: 90.00 107.93 90.00
Fractional coordinates of all 8 atoms:
La1 0.213 0.000 0.199
La2 0.238 0.500 0.791
La3 0.762 0.500 0.209
La4 0.787 0.000 0.801
B1 0.000 0.500 0.000
Br1 0.000 0.000 0.500
Br2 0.500 0.500 0.500
Cl1 0.500 0.000 0.000